# PrRh3C (PBE, relaxed)
data_PrRh3C
_chemical_formula_sum 'Pr1 Rh3 C1'
_space_group_name_H-M_alt 'P m -3 m'
_space_group_IT_number 221
_space_group_name_Hall '-P 4 2 3'
_cell_length_a 4.2517
_cell_length_b 4.2517
_cell_length_c 4.2517
_cell_angle_alpha 90.00
_cell_angle_beta 90.00
_cell_angle_gamma 90.00
loop_
_atom_site_label
_atom_site_fract_x
_atom_site_fract_y
_atom_site_fract_z
Pr1 0.0000 0.0000 0.0000
Rh1 0.0000 0.5000 0.5000
C1 0.5000 0.5000 0.5000
# - Formation energy: -363 meV/atom
# - DOS at the Fermi energy: 1.01 states/eV per cell

# PrRhC (PBE, relaxed)
data_PrRhC
_chemical_formula_sum 'Pr4 Rh4 C4'
_space_group_name_H-M_alt 'C m m m'
_space_group_IT_number 65
_space_group_name_Hall '-C 2 2'
_cell_length_a 5.6454
_cell_length_b 10.5660
_cell_length_c 3.7043
_cell_angle_alpha 90.00
_cell_angle_beta 90.00
_cell_angle_gamma 90.00
loop_
_atom_site_label
_atom_site_fract_x
_atom_site_fract_y
_atom_site_fract_z
Pr1 0.0000 0.1424 0.0000
Rh1 0.0000 0.3710 0.5000
C1 0.2495 0.0000 0.5000
# - Formation energy: 203 meV/atom
# - ΔE to the lowest computed polymorph: 0.255 eV per atom
# - DOS at the Fermi energy: 9.49 states/eV per cell

# Pr2Rh5C (PBE, relaxed)
data_Pr2Rh5C
_chemical_formula_sum 'Pr4 Rh10 C2'
_space_group_name_H-M_alt 'I 4 m m'
_space_group_IT_number 107
_space_group_name_Hall 'I 4 -2'
_cell_length_a 5.7501
_cell_length_b 5.7501
_cell_length_c 8.7767
_cell_angle_alpha 90.00
_cell_angle_beta 90.00
_cell_angle_gamma 90.00
loop_
_atom_site_label
_atom_site_fract_x
_atom_site_fract_y
_atom_site_fract_z
Pr1 0.0000 0.5000 0.0000
Rh1 0.0000 0.0000 0.0077
Rh2 0.2492 0.2492 0.2491
C1 0.0000 0.0000 0.7720
# - Formation energy: -369 meV/atom
# - DOS at the Fermi energy: 14.80 states/eV per cell

# PrRuC2 (PBE, relaxed)
data_PrRuC2
_chemical_formula_sum 'Pr3 Ru3 C6'
_space_group_name_H-M_alt 'R -3 m'
_space_group_IT_number 166
_space_group_name_Hall '-R 3 2"'
_cell_length_a 3.4173
_cell_length_b 3.4173
_cell_length_c 15.9612
_cell_angle_alpha 90.00
_cell_angle_beta 90.00
_cell_angle_gamma 120.00
loop_
_atom_site_label
_atom_site_fract_x
_atom_site_fract_y
_atom_site_fract_z
Pr1 0.0000 0.0000 0.0000
Ru1 0.0000 0.0000 0.5000
C1 0.0000 0.0000 0.2257
# - Formation energy: 457 meV/atom
# - ΔE to the lowest computed polymorph: 0.563 eV per atom
# - DOS at the Fermi energy: 6.29 states/eV per cell

# Pr2RuC2 (PBE, relaxed)
data_Pr2RuC2
_chemical_formula_sum 'Pr8 Ru4 C8'
_space_group_name_H-M_alt 'P n m a'
_space_group_IT_number 62
_space_group_name_Hall '-P 2ac 2n'
_cell_length_a 6.5693
_cell_length_b 5.4345
_cell_length_c 10.2306
_cell_angle_alpha 90.00
_cell_angle_beta 90.00
_cell_angle_gamma 90.00
loop_
_atom_site_label
_atom_site_fract_x
_atom_site_fract_y
_atom_site_fract_z
Pr1 0.0182 0.2500 0.2185
Pr2 0.1940 0.2500 0.5490
Ru1 0.2316 0.2500 0.8580
C1 0.0287 0.7500 0.2454
C2 0.1866 0.7500 0.5391
# - Formation energy: -152 meV/atom
# - ΔE to the lowest computed polymorph: 0.000 eV per atom
# - DOS at the Fermi energy: 11.07 states/eV per cell

# PrRuC2 (PBE, relaxed)
data_PrRuC2
_chemical_formula_sum 'Pr2 Ru2 C4'
_space_group_name_H-M_alt 'A m m 2'
_space_group_IT_number 38
_space_group_name_Hall 'A 2 -2'
_cell_length_a 4.0085
_cell_length_b 4.7655
_cell_length_c 6.2843
_cell_angle_alpha 90.00
_cell_angle_beta 90.00
_cell_angle_gamma 90.00
loop_
_atom_site_label
_atom_site_fract_x
_atom_site_fract_y
_atom_site_fract_z
Pr1 0.0000 0.0000 0.0000
Ru1 0.5000 0.0000 0.3841
C1 0.5000 0.1461 0.7059
# - Formation energy: -102 meV/atom
# - ΔE to the lowest computed polymorph: 0.004 eV per atom
# - DOS at the Fermi energy: 3.67 states/eV per cell